## Na2CaNi3F12 (GGA+U)

Data for a relaxed structure of Na2CaNi3F12.

```
Na2CaNi3F12
1.0
3.6820 2.1258 5.2159
-3.6820 2.1258 5.2159
0.0000 -4.2516 5.2159
Na Ca Ni F
2 1 3 12
Direct
0.1328 0.1328 0.1328
0.8672 0.8672 0.8672
0.5000 0.5000 0.5000
0.0000 0.5000 0.5000
0.5000 0.0000 0.5000
0.5000 0.5000 0.0000
0.0798 0.6402 0.6402
0.2301 0.2301 0.6107
0.2301 0.6107 0.2301
0.3598 0.3598 0.9202
0.3598 0.9202 0.3598
0.3893 0.7699 0.7699
0.6107 0.2301 0.2301
0.6402 0.0798 0.6402
0.6402 0.6402 0.0798
0.7699 0.3893 0.7699
0.7699 0.7699 0.3893
0.9202 0.3598 0.3598
```

Values from the calculation:
Space-group type ... No. 166
Density of states at the Fermi level ... 7.561 states/eV/cell
Electronic total energy ... -4.26 eV per atom